A plane-wave DFT calculation with PBE was carried out for a relaxed structure of Pu2AlZn16.

uncorrected energy	-2.93	eV per atom
energy of formation	-0.1487	eV/atom
SG	R3m (160)

Cell and atoms, written as CIF:
```
data_Pu2AlZn16
_chemical_formula_sum 'Pu2 Al1 Zn16'
_cell_length_a 6.824
_cell_length_b 6.824
_cell_length_c 6.824
_cell_angle_alpha 82.75
_cell_angle_beta 82.75
_cell_angle_gamma 82.75
_symmetry_space_group_name_H-M 'P 1'
_symmetry_Int_Tables_number 1
_symmetry_space_group_name_Hall 'P 1'
loop_
_atom_site_label
_atom_site_type_symbol
_atom_site_fract_x
_atom_site_fract_y
_atom_site_fract_z
Pu1 Pu 0.000 0.000 0.000
Pu2 Pu 0.330 0.330 0.330
Al1 Al 0.764 0.764 0.764
Zn1 Zn 0.019 0.019 0.504
Zn2 Zn 0.019 0.504 0.019
Zn3 Zn 0.168 0.664 0.664
Zn4 Zn 0.312 0.312 0.827
Zn5 Zn 0.312 0.827 0.312
Zn6 Zn 0.367 0.665 0.963
Zn7 Zn 0.367 0.963 0.665
Zn8 Zn 0.504 0.019 0.019
Zn9 Zn 0.564 0.564 0.564
Zn10 Zn 0.664 0.168 0.664
Zn11 Zn 0.664 0.664 0.168
Zn12 Zn 0.665 0.367 0.963
Zn13 Zn 0.665 0.963 0.367
Zn14 Zn 0.827 0.312 0.312
Zn15 Zn 0.963 0.367 0.665
Zn16 Zn 0.963 0.665 0.367
```



A plane-wave DFT calculation with PBE was carried out for a relaxed structure of PuAl2Zn6.

uncorrected energy	-3.27	eV per atom
excess energy over the best structure of this formula in the dataset	0.0000	eV per atom
energy of formation	0.0032	eV/atom
SG	Immm (71)

Cell and atoms, written as CIF:
```
data_PuAl2Zn6
_chemical_formula_sum 'Pu1 Al2 Zn6'
_cell_length_a 7.158
_cell_length_b 7.158
_cell_length_c 7.158
_cell_angle_alpha 146.69
_cell_angle_beta 124.19
_cell_angle_gamma 66.57
_symmetry_space_group_name_H-M 'P 1'
_symmetry_Int_Tables_number 1
_symmetry_space_group_name_Hall 'P 1'
loop_
_atom_site_label
_atom_site_type_symbol
_atom_site_fract_x
_atom_site_fract_y
_atom_site_fract_z
Pu1 Pu 0.000 0.000 0.000
Al1 Al 0.383 0.883 0.500
Al2 Al 0.617 0.117 0.500
Zn1 Zn 0.003 0.308 0.695
Zn2 Zn 0.319 0.500 0.819
Zn3 Zn 0.386 0.692 0.695
Zn4 Zn 0.614 0.308 0.305
Zn5 Zn 0.681 0.500 0.181
Zn6 Zn 0.997 0.692 0.305
```



A plane-wave DFT calculation with PBE was carried out for a relaxed structure of Pu3Al3Zn8.

uncorrected energy	-4.77	eV per atom
energy of formation	-0.1693	eV/atom
SG	Immm (71)

Cell and atoms, written as CIF:
```
data_Pu3Al3Zn8
_chemical_formula_sum 'Pu3 Al3 Zn8'
_cell_length_a 8.179
_cell_length_b 8.179
_cell_length_c 8.179
_cell_angle_alpha 149.14
_cell_angle_beta 109.30
_cell_angle_gamma 79.11
_symmetry_space_group_name_H-M 'P 1'
_symmetry_Int_Tables_number 1
_symmetry_space_group_name_Hall 'P 1'
loop_
_atom_site_label
_atom_site_type_symbol
_atom_site_fract_x
_atom_site_fract_y
_atom_site_fract_z
Pu1 Pu 0.000 0.000 0.000
Pu2 Pu 0.303 0.303 0.000
Pu3 Pu 0.697 0.697 0.000
Al1 Al 0.300 0.500 0.800
Al2 Al 0.500 0.000 0.500
Al3 Al 0.700 0.500 0.200
Zn1 Zn 0.027 0.662 0.365
Zn2 Zn 0.140 0.861 0.279
Zn3 Zn 0.297 0.662 0.635
Zn4 Zn 0.417 0.139 0.279
Zn5 Zn 0.583 0.861 0.721
Zn6 Zn 0.703 0.338 0.365
Zn7 Zn 0.860 0.139 0.721
Zn8 Zn 0.973 0.338 0.635
```